1.
# FeOs2Pt

FeOs2Pt after structural relaxation (GGA-PBE, the Alexandria database).

Computed properties:
Space group ... R-3m (166)
DFT formation energy ... 0.59 eV/f.u.
Spin magnetization ... 1.9 μB/f.u.

Geometry as POSCAR:
```
FeOs2Pt
1.0
9.012 0.009 0.005
8.604 2.680 0.005
8.604 1.313 2.336
Os Fe Pt
2 1 1
Direct
0.006 0.006 0.006
0.494 0.494 0.494
0.750 0.750 0.750
0.250 0.250 0.250
```



2.
# FeOs2Pt

FeOs2Pt after structural relaxation (GGA-PBE, the Alexandria database).

Computed properties:
Space group ... P4mm (99)
DFT formation energy ... 0.21 eV/f.u.
Spin magnetization ... 2.9 μB/f.u.

Geometry as POSCAR:
```
FeOs2Pt
1.0
-0.097 -0.816 2.604
-0.162 -2.599 -0.820
7.617 -0.513 0.123
Os Pt Fe
2 1 1
Direct
0.500 0.500 0.237
0.000 0.000 0.002
0.000 0.000 0.508
0.500 0.500 0.753
```



3.
# FeOs2Pt

FeOs2Pt after structural relaxation (GGA-PBE, the Alexandria database).

Computed properties:
Space group ... I-42d (122)
DFT formation energy ... 4.97 eV/f.u.
Spin magnetization ... 0.0 μB/f.u.

Geometry as POSCAR:
```
FeOs2Pt
1.0
-3.635 4.006 1.182
-3.877 -2.654 -2.929
-5.199 -1.879 3.350
Os Pt Fe
4 2 2
Direct
0.875 0.843 0.750
0.593 0.125 0.250
0.375 0.407 0.750
0.157 0.625 0.250
0.000 0.000 0.000
0.750 0.250 0.500
0.500 0.500 0.000
0.250 0.750 0.500
```



4.
# Fe2Os2Pt

Fe2Os2Pt after structural relaxation (GGA-PBE, the Alexandria database).

Computed properties:
Space group ... P4/mbm (127)
E above lowest polymorph ... 0.000 eV/atom
DFT formation energy ... 1.10 eV/f.u.
Spin magnetization ... 0.0 μB/f.u.

Geometry as POSCAR:
```
Fe2Os2Pt
1.0
7.085 0.000 0.000
0.000 7.085 0.000
0.000 0.000 2.653
Fe Pt Os
4 2 4
Direct
0.121 0.379 0.000
0.379 0.879 0.000
0.621 0.121 0.000
0.879 0.621 0.000
0.500 0.500 0.000
0.000 0.000 0.000
0.171 0.671 0.500
0.671 0.829 0.500
0.329 0.171 0.500
0.829 0.329 0.500
```



5.
# RbFeOs2Pt

RbFeOs2Pt after structural relaxation (GGA-PBE, the Alexandria database).

Computed properties:
Space group ... P4/mmm (123)
DFT formation energy ... 10.84 eV/f.u.
Spin magnetization ... 0.7 μB/f.u.

Geometry as POSCAR:
```
RbFeOs2Pt
1.0
-4.517 -0.214 1.841
1.546 -3.090 3.433
1.017 3.768 2.933
Fe Os Pt Rb
1 2 1 1
Direct
0.000 0.500 0.000
0.000 0.000 0.500
0.500 0.000 0.000
0.000 0.000 0.000
0.500 0.500 0.500
```



6.
# FeOsPt2Se

FeOsPt2Se after structural relaxation (GGA-PBE, the Alexandria database).

Computed properties:
Formation energy (no corrections) ... 665 kJ/mol of formula units
Space group ... P4/mmm (123)
Spin magnetization ... 0.1 μB/f.u.

Geometry as POSCAR:
```
FeOsPt2Se
1.0
4.664 0.000 0.000
0.000 4.245 0.000
0.000 0.000 4.664
Os Pt Se Fe
1 2 1 1
Direct
0.500 0.500 0.500
0.500 0.000 0.000
0.000 0.000 0.500
0.000 0.500 0.000
0.000 0.000 0.000
```



7.
# PuFeOs

PuFeOs after structural relaxation (GGA-PBE, the Alexandria database).

Computed properties:
Space group ... Imma (74)
DFT formation energy ... 0.01 eV/f.u.
Spin magnetization ... 6.2 μB/f.u.

Geometry as POSCAR:
```
PuFeOs
1.0
5.236 0.150 0.279
-2.424 4.644 -0.279
2.818 1.568 4.137
Fe Pu Os
2 2 2
Direct
0.000 0.500 0.500
0.500 0.500 0.000
0.250 0.123 0.627
0.750 0.877 0.373
0.500 0.000 0.000
0.000 0.500 0.000
```



8.
# Pu2Fe3Os

Pu2Fe3Os after structural relaxation (GGA-PBE, the Alexandria database).

Computed properties:
Space group ... C2/m (12)
DFT formation energy ... -0.51 eV/f.u.
Spin magnetization ... 4.0 μB/f.u.

Geometry as POSCAR:
```
Pu2Fe3Os
1.0
-3.679 -3.023 1.543
4.562 -0.361 2.028
-0.219 5.086 1.375
Pu Os Fe
2 1 3
Direct
0.248 0.624 0.872
0.752 0.376 0.128
0.000 0.000 0.000
0.500 0.000 0.500
0.000 0.000 0.500
0.500 0.500 0.500
```